No. 1
First-principles (PBE-GGA) data for a geometry-optimized CoSi structure, as listed in Alexandria.

```
CoSi
1.0
-3.769 0.081 3.558
-2.816 -2.473 3.581
2.516 0.977 4.289
Si Co
3 3
direct
0.028 0.028 0.434
0.013 0.013 0.969
0.728 0.728 0.070
0.662 0.662 0.649
0.384 0.384 0.756
0.352 0.352 0.289
```

Values from the calculation:
Uncorrected formation energy = -0.29 eV/atom
DOS(E_F) = 4.3 states/eV/cell
Crystal system = monoclinic
Space-group type = Cm, No. 8


No. 2
First-principles (PBE-GGA) data for a geometry-optimized Co3Si structure, as listed in Alexandria.

```
Co3Si
1.0
4.112 0.066 0.000
-1.102 3.962 0.000
0.000 0.000 2.598
Si Co
1 3
direct
0.000 0.000 0.000
0.000 0.500 0.500
0.500 0.000 0.500
0.500 0.500 0.000
```

Values from the calculation:
Uncorrected formation energy = -0.24 eV/atom
DOS(E_F) = 5.0 states/eV/cell
Crystal system = orthorhombic
Space-group type = Cmmm, No. 65


No. 3
First-principles (PBE-GGA) data for a geometry-optimized CoSi structure, as listed in Alexandria.

```
CoSi
1.0
7.819 0.000 0.000
0.000 7.819 0.000
0.000 0.000 4.088
Co Si
8 8
direct
0.893 0.607 0.000
0.607 0.893 0.500
0.393 0.893 0.000
0.107 0.607 0.500
0.393 0.107 0.500
0.107 0.393 0.000
0.607 0.107 0.000
0.893 0.393 0.500
0.187 0.687 0.000
0.313 0.187 0.000
0.687 0.813 0.000
0.813 0.687 0.500
0.187 0.313 0.500
0.687 0.187 0.500
0.313 0.813 0.500
0.813 0.313 0.000
```

Values from the calculation:
Uncorrected formation energy = -0.23 eV/atom
DOS(E_F) = 8.2 states/eV/cell
Crystal system = tetragonal
Space-group type = I4/mcm, No. 140


No. 4
First-principles (PBE-GGA) data for a geometry-optimized Co3Si structure, as listed in Alexandria.

```
Co3Si
1.0
2.592 0.000 0.000
0.000 3.972 0.000
0.000 0.000 4.160
Co Si
3 1
direct
0.500 0.000 0.482
0.500 0.500 0.846
0.000 0.000 0.987
0.000 0.500 0.352
```

Values from the calculation:
Uncorrected formation energy = -0.23 eV/atom
DOS(E_F) = 4.8 states/eV/cell
Crystal system = orthorhombic
Space-group type = Pmm2, No. 25


No. 5
First-principles (PBE-GGA) data for a geometry-optimized CoSi2 structure, as listed in Alexandria.

```
CoSi2
1.0
-2.517 -0.686 -0.313
1.506 -4.068 -3.196
0.367 -3.399 4.499
Co Si
2 4
direct
0.500 0.500 0.500
0.000 0.000 0.000
0.000 0.386 0.814
0.500 0.886 0.686
0.000 0.614 0.186
0.500 0.114 0.314
```

Values from the calculation:
Uncorrected formation energy = -0.22 eV/atom
DOS(E_F) = 1.8 states/eV/cell
Crystal system = orthorhombic
Space-group type = Pnnm, No. 58


No. 6
First-principles (PBE-GGA) data for a geometry-optimized CoSi structure, as listed in Alexandria.

```
CoSi
1.0
5.329 0.000 0.000
0.000 5.991 0.000
0.000 0.000 6.081
Si Co
8 8
direct
0.232 0.399 0.107
0.324 0.874 0.292
0.824 0.626 0.708
0.768 0.899 0.393
0.268 0.601 0.607
0.176 0.126 0.792
0.676 0.374 0.208
0.732 0.101 0.893
0.004 0.092 0.163
0.996 0.592 0.337
0.496 0.908 0.663
0.504 0.408 0.837
0.330 0.255 0.447
0.830 0.245 0.553
0.170 0.745 0.947
0.670 0.755 0.053
```

Values from the calculation:
Uncorrected formation energy = -0.36 eV/atom
DOS(E_F) = 13.3 states/eV/cell
Crystal system = orthorhombic
Space-group type = P2_12_12_1, No. 19


No. 7
First-principles (PBE-GGA) data for a geometry-optimized Co3Si5 structure, as listed in Alexandria.

```
Co3Si5
1.0
3.487 -3.496 0.000
3.487 3.496 0.000
0.000 0.000 3.823
Co Si
3 5
direct
0.500 0.500 0.000
0.806 0.806 0.500
0.194 0.194 0.500
0.000 0.000 0.000
0.299 0.701 0.500
0.701 0.299 0.500
0.000 0.500 0.000
0.500 0.000 0.000
```

Values from the calculation:
Uncorrected formation energy = -0.11 eV/atom
DOS(E_F) = 5.3 states/eV/cell
Energy above the lowest structure with this stoichiometry = 14 meV per atom
Crystal system = orthorhombic
Space-group type = Cmmm, No. 65


No. 8
First-principles (PBE-GGA) data for a geometry-optimized CoSi2 structure, as listed in Alexandria.

```
CoSi2
1.0
4.108 0.000 0.000
-2.054 3.558 0.000
0.000 0.000 2.624
Co Si
1 2
direct
0.000 0.000 0.000
0.667 0.333 0.147
0.333 0.667 0.853
```

Values from the calculation:
Uncorrected formation energy = 0.12 eV/atom
DOS(E_F) = 2.3 states/eV/cell
Crystal system = trigonal
Space-group type = P-3m1, No. 164